A relaxed TiGaRh crystal. Source: Alexandria, functional PBE.

extended XYZ file:
```
6
Lattice="0.715 7.862 0.851 -3.429 -7.039 -1.319 -0.793 -0.358 3.973" Properties=species:S:1:pos:R:3 pbc="T T T"
Ga -2.136 -0.520 2.649
Ga -1.371 0.985 0.856
Ti -0.012 5.869 1.567
Ti -3.495 -5.403 1.938
Rh -2.805 -2.924 2.299
Rh -0.702 3.390 1.206
```

Results
- final energy (hartree per atom) = -0.2432
- crystal system = orthorhombic

=====

A relaxed Dy2TaB2Ru5 crystal. Source: Alexandria, functional PBE.

extended XYZ file:
```
20
Lattice="-2.852 1.277 -0.055 -0.407 -1.322 -9.586 -3.941 -8.740 1.373" Properties=species:S:1:pos:R:3 pbc="T T T"
B -2.494 -5.582 -0.303
B -3.719 -8.508 -4.740
B -1.854 -4.480 -7.911
B -0.629 -1.554 -3.473
Ru -5.406 -8.516 -6.250
Ru -3.409 -4.061 -6.320
Ru -1.630 -0.022 -4.821
Ru -1.794 -0.269 -2.018
Ru -4.487 -6.390 -4.515
Ru -2.713 -2.395 -3.753
Ru -3.791 -4.724 -1.949
Ru -2.663 -2.493 -8.635
Ru -4.537 -6.291 0.366
Ru -3.396 -3.731 0.659
Ta 0.000 0.000 0.000
Ta -2.174 -5.031 -4.107
Dy -3.383 -7.639 -1.982
Dy -1.352 -3.071 -1.233
Dy -0.965 -2.423 -6.232
Dy -2.997 -6.991 -6.980
```

Results
- final energy (hartree per atom) = -0.3159
- crystal system = tetragonal

=====

A relaxed La5Pm3Nd2 crystal. Source: Alexandria, functional PBE.

extended XYZ file:
```
20
Lattice="-8.841 -5.312 0.040 0.187 -8.443 5.894 1.938 10.898 2.867" Properties=species:S:1:pos:R:3 pbc="T T T"
La -7.701 -2.183 2.644
La -4.893 -8.036 5.886
La -6.203 -1.768 5.909
La -3.494 0.832 3.145
La 0.985 -0.674 6.158
La -0.513 -1.089 2.892
La -4.485 2.499 5.564
La -1.823 5.179 2.916
La -2.232 -5.356 3.237
La -3.222 -3.689 5.657
Nd -5.444 3.785 2.380
Nd -4.141 -2.472 2.373
Nd -1.272 -6.641 6.421
Nd -2.575 -0.385 6.428
Pm -7.104 1.132 3.503
Pm -6.716 -3.840 0.238
Pm -5.814 -5.104 3.527
Pm -0.001 0.984 8.564
Pm 0.388 -3.989 5.298
Pm -0.903 2.247 5.275
```

Results
- final energy (hartree per atom) = -0.1726
- polymorph energy (0 for the lowest one) (meV per atom) = 0
- crystal system = monoclinic

=====

A relaxed RbInBrCl2 crystal. Source: Alexandria, functional PBE.

extended XYZ file:
```
5
Lattice="-1.274 -2.886 -4.463 -0.333 -4.537 3.029 -5.529 1.019 0.919" Properties=species:S:1:pos:R:3 pbc="T T T"
Rb -3.568 -3.202 -0.257
In 0.000 0.000 0.000
Br -2.765 0.510 0.460
Cl -0.637 -1.443 -2.232
Cl -0.166 -2.269 1.515
```

Results
- final energy (hartree per atom) = -0.1142
- crystal system = tetragonal

=====

A relaxed SnTe3Au2 crystal. Source: Alexandria, functional PBE.

extended XYZ file:
```
12
Lattice="-2.499 -1.588 -4.305 5.288 4.536 -4.744 1.841 -8.007 1.885" Properties=species:S:1:pos:R:3 pbc="T T T"
Sn 2.181 -4.340 -1.719
Sn 2.450 -0.719 -5.445
Te -0.232 -3.110 -3.232
Te 3.974 1.915 -4.841
Te 1.421 -0.274 -2.551
Te 0.657 -6.974 -2.322
Te 3.209 -4.785 -4.612
Te 4.862 -1.950 -3.931
Au 0.920 -4.003 0.943
Au 3.564 -1.736 -1.429
Au 0.000 0.000 0.000
Au 2.644 2.268 -2.372
```

Results
- final energy (hartree per atom) = -0.1267
- polymorph energy (0 for the lowest one) (meV per atom) = 0
- crystal system = trigonal

=====

A relaxed Nd5Sb4S crystal. Source: Alexandria, functional PBE.

extended XYZ file:
```
10
Lattice="-2.000 5.187 -2.986 -5.113 -1.350 -5.588 -6.232 3.242 3.137" Properties=species:S:1:pos:R:3 pbc="T T T"
Sb -5.562 2.947 -4.506
Sb -7.787 4.143 -0.937
Sb -9.424 5.046 -4.939
Sb -3.925 2.043 -0.504
Nd -1.000 2.595 -1.494
Nd -8.539 2.396 -3.468
Nd -8.832 6.784 -2.317
Nd -4.809 4.694 -1.974
Nd -4.517 0.306 -3.125
S -0.003 0.008 -0.004
```

Results
- final energy (hartree per atom) = -0.2124
- polymorph energy (0 for the lowest one) (meV per atom) = 0
- crystal system = tetragonal

=====

Question: Among the records above, which one has the lowest final energy?
Answer: Dy2TaB2Ru5

=====

What did the fifth record say?
A relaxed SnTe3Au2 crystal. Source: Alexandria, functional PBE.

extended XYZ file:
```
12
Lattice="-2.499 -1.588 -4.305 5.288 4.536 -4.744 1.841 -8.007 1.885" Properties=species:S:1:pos:R:3 pbc="T T T"
Sn 2.181 -4.340 -1.719
Sn 2.450 -0.719 -5.445
Te -0.232 -3.110 -3.232
Te 3.974 1.915 -4.841
Te 1.421 -0.274 -2.551
Te 0.657 -6.974 -2.322
Te 3.209 -4.785 -4.612
Te 4.862 -1.950 -3.931
Au 0.920 -4.003 0.943
Au 3.564 -1.736 -1.429
Au 0.000 0.000 0.000
Au 2.644 2.268 -2.372
```

Results
- final energy (hartree per atom) = -0.1267
- polymorph energy (0 for the lowest one) (meV per atom) = 0
- crystal system = trigonal